# 1
Below is a relaxed Pr2Er12Th5 crystal, with properties calculated at the PBE level.

```
Pr2Er12Th5
1.0
-4.309 3.823 -4.039
0.472 -9.366 -3.243
-7.954 -5.484 3.293
Er Pr Th
12 2 5
Direct
0.500 0.999 0.330
0.915 0.331 0.484
0.085 0.669 0.516
0.088 0.684 0.864
0.584 0.669 0.516
0.404 0.316 0.136
0.416 0.331 0.484
0.500 0.001 0.670
0.971 0.942 0.239
0.029 0.058 0.761
0.912 0.316 0.136
0.596 0.684 0.864
0.286 0.000 0.000
0.714 0.000 0.000
0.682 0.365 0.788
0.318 0.635 0.212
0.811 0.621 0.183
0.000 0.000 0.500
0.189 0.379 0.817
```

Summary:
- Energy relative to the elements: 21.0 kJ per mole of atoms
- Excess energy over the best structure of this formula in the dataset: 68.7 meV per atom
- Symmetry: C2/m (12)
- VASP energy: -5.1194 eV/atom

---

# 2
Below is a relaxed Pr2Er5Th4 crystal, with properties calculated at the PBE level.

```
Pr2Er5Th4
1.0
3.540 -0.063 0.537
-0.142 8.488 1.941
3.510 2.883 13.014
Pr Th Er
2 4 5
Direct
0.685 0.639 0.543
0.315 0.361 0.457
0.400 0.177 0.733
0.864 0.272 0.091
0.600 0.823 0.267
0.136 0.728 0.909
0.239 0.547 0.174
0.966 0.086 0.356
0.761 0.453 0.826
0.034 0.914 0.644
0.500 0.000 0.000
```

Summary:
- Energy relative to the elements: 3.4 kJ per mole of atoms
- Symmetry: C2/m (12)
- VASP energy: -5.6055 eV/atom

---

# 3
Below is a relaxed Pr7Er12Th crystal, with properties calculated at the PBE level.

```
Pr7Er12Th
1.0
-7.085 -5.141 0.465
3.699 -5.833 -5.398
3.419 -4.344 6.803
Er Pr Th
12 7 1
Direct
0.499 0.385 0.850
0.714 0.256 0.133
0.286 0.744 0.867
0.133 0.714 0.256
0.867 0.286 0.744
0.501 0.615 0.150
0.150 0.501 0.615
0.850 0.499 0.385
0.256 0.133 0.714
0.744 0.867 0.286
0.615 0.150 0.501
0.385 0.850 0.499
0.620 0.955 0.836
0.955 0.836 0.620
0.045 0.164 0.380
0.500 0.500 0.500
0.380 0.045 0.164
0.164 0.380 0.045
0.836 0.620 0.955
0.000 0.000 0.000
```

Summary:
- Energy relative to the elements: 22.5 kJ per mole of atoms
- Symmetry: R-3 (148)
- VASP energy: -4.5488 eV/atom

---

# 4
Below is a relaxed Pr2ErTh2 crystal, with properties calculated at the PBE level.

```
Pr2ErTh2
1.0
-2.260 2.811 0.278
-1.551 0.767 3.177
10.070 9.973 4.568
Pr Er Th
2 1 2
Direct
0.204 0.204 0.389
0.796 0.796 0.611
0.000 0.000 0.000
0.398 0.398 0.807
0.602 0.602 0.193
```

Summary:
- Energy relative to the elements: 3.7 kJ per mole of atoms
- Symmetry: R-3m (166)
- VASP energy: -5.7542 eV/atom

---

# 5
Below is a relaxed Pr6ErTh crystal, with properties calculated at the PBE level.

```
Pr6ErTh
1.0
5.188 0.000 0.000
0.000 5.188 0.000
0.000 0.000 10.382
Pr Th Er
6 1 1
Direct
0.500 0.500 0.500
0.000 0.500 0.252
0.500 0.000 0.252
0.500 0.000 0.748
0.000 0.500 0.748
0.500 0.500 0.000
0.000 0.000 0.500
0.000 0.000 0.000
```

Summary:
- Energy relative to the elements: 4.3 kJ per mole of atoms
- Symmetry: P4/mmm (123)
- VASP energy: -5.0381 eV/atom

---

# 6
Below is a relaxed Pr4Er5Th crystal, with properties calculated at the PBE level.

```
Pr4Er5Th
1.0
4.038 0.000 0.000
0.000 4.038 0.000
0.000 0.000 20.365
Er Th Pr
5 1 4
Direct
0.500 0.500 0.500
0.500 0.500 0.091
0.500 0.500 0.290
0.500 0.500 0.909
0.500 0.500 0.710
0.000 0.000 0.000
0.000 0.000 0.395
0.000 0.000 0.605
0.000 0.000 0.188
0.000 0.000 0.812
```

Summary:
- Energy relative to the elements: 9.1 kJ per mole of atoms
- Symmetry: P4/mmm (123)
- VASP energy: -4.8412 eV/atom

---

# 7
Below is a relaxed Pr2ErTh crystal, with properties calculated at the PBE level.

```
Pr2ErTh
1.0
-5.804 1.420 -1.935
-5.310 1.138 3.155
-1.172 4.970 0.389
Pr Th Er
2 1 1
Direct
0.250 0.250 0.250
0.000 0.000 0.000
0.500 0.500 0.500
0.750 0.750 0.750
```

Summary:
- Energy relative to the elements: 5.6 kJ per mole of atoms
- Excess energy over the best structure of this formula in the dataset: 7.7 meV per atom
- Symmetry: I-4m2 (119)
- VASP energy: -5.3274 eV/atom

---

# 8
Below is a relaxed Pr8ErTh2 crystal, with properties calculated at the PBE level.

```
Pr8ErTh2
1.0
5.531 0.000 -1.679
-1.023 7.574 -3.368
-0.117 -0.369 9.560
Er Th Pr
1 2 8
Direct
0.500 0.000 0.000
0.800 0.300 0.599
0.200 0.700 0.401
0.362 0.568 0.725
0.638 0.844 0.275
0.362 0.156 0.725
0.160 0.160 0.319
0.840 0.840 0.681
0.638 0.432 0.275
0.000 0.294 0.000
0.000 0.706 0.000
```

Summary:
- Energy relative to the elements: 15.3 kJ per mole of atoms
- Symmetry: Immm (71)
- VASP energy: -5.0818 eV/atom

---

# 9
Below is a relaxed Pr4Er8Th crystal, with properties calculated at the PBE level.

```
Pr4Er8Th
1.0
-3.086 -4.953 5.172
7.031 -3.180 1.124
1.386 5.127 5.710
Pr Er Th
4 8 1
Direct
0.000 0.500 0.500
0.500 0.000 0.500
0.000 0.000 0.000
0.500 0.500 0.000
0.242 0.759 0.759
0.759 0.242 0.759
0.241 0.758 0.241
0.758 0.241 0.241
0.241 0.241 0.758
0.241 0.241 0.241
0.759 0.759 0.759
0.759 0.759 0.242
0.500 0.500 0.500
```

Summary:
- Energy relative to the elements: 50.4 kJ per mole of atoms
- Symmetry: R-3m (166)
- VASP energy: -4.3265 eV/atom

---

# 10
Below is a relaxed PrEr2Th4 crystal, with properties calculated at the PBE level.

```
PrEr2Th4
1.0
5.534 0.000 0.000
0.000 9.368 0.000
0.000 0.000 9.368
Th Er Pr
8 4 2
Direct
0.000 0.376 0.120
0.000 0.624 0.880
0.000 0.880 0.624
0.500 0.124 0.620
0.000 0.120 0.376
0.500 0.876 0.380
0.500 0.380 0.876
0.500 0.620 0.124
0.000 0.813 0.187
0.000 0.187 0.813
0.500 0.687 0.687
0.500 0.313 0.313
0.000 0.500 0.500
0.500 0.000 0.000
```

Summary:
- Energy relative to the elements: 28.4 kJ per mole of atoms
- Symmetry: P4_2/mnm (136)
- VASP energy: -5.9322 eV/atom

---

# 11
Below is a relaxed Pr4Er5Th2 crystal, with properties calculated at the PBE level.

```
Pr4Er5Th2
1.0
-1.106 -0.680 3.277
4.954 -7.174 1.943
11.127 9.897 -5.636
Er Pr Th
5 4 2
Direct
0.104 0.454 0.361
0.955 0.089 0.264
0.045 0.911 0.736
0.896 0.546 0.639
0.500 0.000 0.000
0.571 0.275 0.832
0.761 0.802 0.466
0.239 0.198 0.534
0.429 0.725 0.168
0.893 0.363 0.109
0.107 0.637 0.891
```

Summary:
- Energy relative to the elements: 7.3 kJ per mole of atoms
- Symmetry: P-1 (2)
- VASP energy: -5.0855 eV/atom

---

# 12
Below is a relaxed Pr5Er4Th crystal, with properties calculated at the PBE level.

```
Pr5Er4Th
1.0
-1.520 -2.912 1.380
1.812 -5.654 -9.934
6.651 3.274 9.632
Pr Er Th
5 4 1
Direct
0.190 0.798 0.380
0.202 0.295 0.404
0.810 0.202 0.620
0.500 0.500 0.000
0.798 0.705 0.596
0.605 0.912 0.209
0.920 0.637 0.841
0.395 0.088 0.791
0.080 0.363 0.159
0.500 0.000 0.000
```

Summary:
- Energy relative to the elements: 4.2 kJ per mole of atoms
- Excess energy over the best structure of this formula in the dataset: 0.0 meV per atom
- Symmetry: C2/m (12)
- VASP energy: -4.9131 eV/atom